[1]
Computed, not measured: an optimized crystal structure of CdHgRh2 at the PBE level of DFT.

Cell lengths 4.609, 4.609, 4.609 Å; angles 60.00, 60.00, 60.00 degrees
Positions (direct):
Cd 0.500 0.500 0.500
Hg 0.750 0.750 0.750
Rh 0.000 0.000 0.000
Rh 0.250 0.250 0.250

Results
* space group: F-43m, No. 216
* M_tot: 1.1 μB per formula unit
* volume: 17.308 Å³/atom
* calculated formation energy: 0.195 eV/atom

---

[2]
Computed, not measured: an optimized crystal structure of CaSc2Ru at the PBE level of DFT.

Cell lengths 10.005, 10.005, 10.005 Å; angles 19.22, 19.22, 19.22 degrees
Positions (direct):
Sc 0.018 0.018 0.018
Sc 0.256 0.256 0.256
Ru 0.743 0.743 0.743
Ca 0.483 0.483 0.483

Results
* space group: R3m, No. 160
* energy above the lowest structure with this stoichiometry: 397 meV/atom
* M_tot: 0.8 μB per formula unit
* volume: 23.721 Å³/atom
* calculated formation energy: 0.110 eV/atom

---

[3]
Computed, not measured: an optimized crystal structure of ThBe3Pd10 at the PBE level of DFT.

Cell lengths 8.448, 8.448, 8.448 Å; angles 60.00, 60.00, 60.00 degrees
Positions (direct):
Th 0.250 0.250 0.250
Th 0.750 0.750 0.750
Be 0.730 0.730 0.270
Be 0.730 0.270 0.730
Be 0.270 0.730 0.730
Be 0.270 0.270 0.730
Be 0.730 0.270 0.270
Be 0.270 0.730 0.270
Pd 0.000 0.000 0.337
Pd 0.000 0.337 0.000
Pd 0.337 0.000 0.000
Pd 0.663 0.337 0.000
Pd 0.383 0.383 0.383
Pd 0.150 0.617 0.617
Pd 0.383 0.850 0.383
Pd 0.663 0.000 0.337
Pd 0.383 0.383 0.850
Pd 0.850 0.383 0.383
Pd 0.617 0.617 0.150
Pd 0.000 0.000 0.663
Pd 0.337 0.663 0.000
Pd 0.000 0.663 0.337
Pd 0.000 0.337 0.663
Pd 0.663 0.000 0.000
Pd 0.617 0.617 0.617
Pd 0.000 0.663 0.000
Pd 0.617 0.150 0.617
Pd 0.337 0.000 0.663

Results
* space group: Fm-3m, No. 225
* M_tot: 0.0 μB per formula unit
* volume: 15.228 Å³/atom
* calculated formation energy: -0.550 eV/atom

---

[4]
Computed, not measured: an optimized crystal structure of YPaIr4 at the PBE level of DFT.

Cell lengths 5.365, 5.365, 5.365 Å; angles 60.00, 60.00, 60.00 degrees
Positions (direct):
Y 0.000 0.000 0.000
Pa 0.250 0.250 0.250
Ir 0.625 0.625 0.124
Ir 0.625 0.124 0.625
Ir 0.625 0.625 0.625
Ir 0.124 0.625 0.625

Results
* space group: F-43m, No. 216
* M_tot: 0.0 μB per formula unit
* volume: 18.200 Å³/atom
* calculated formation energy: -0.766 eV/atom

---

[5]
Computed, not measured: an optimized crystal structure of Y8MgC4 at the PBE level of DFT.

Cell lengths 3.632, 9.109, 9.285 Å; angles 83.54, 78.72, 78.50 degrees
Positions (direct):
Y 0.154 0.321 0.370
Y 0.558 0.647 0.238
Y 0.474 0.356 0.696
Y 0.877 0.682 0.563
Y 0.853 0.984 0.309
Y 0.218 0.659 0.905
Y 0.178 0.019 0.624
Y 0.814 0.344 0.029
Mg 0.516 0.001 0.967
C 0.365 0.834 0.435
C 0.848 0.509 0.796
C 0.184 0.495 0.138
C 0.666 0.169 0.498

Results
* space group: C2/m, No. 12
* M_tot: 0.2 μB per formula unit
* volume: 22.640 Å³/atom
* calculated formation energy: -0.233 eV/atom

---

[6]
Computed, not measured: an optimized crystal structure of LiCdAu3 at the PBE level of DFT.

Cell lengths 4.553, 4.553, 4.553 Å; angles 90.00, 90.00, 90.00 degrees
Positions (direct):
Li 0.000 0.000 0.000
Au 0.000 0.500 0.000
Au 0.000 0.000 0.500
Au 0.500 0.000 0.000
Cd 0.500 0.500 0.500

Results
* space group: Pm-3m, No. 221
* energy above the lowest structure with this stoichiometry: 463 meV/atom
* M_tot: 0.0 μB per formula unit
* volume: 18.874 Å³/atom
* calculated formation energy: 0.143 eV/atom

---

- The lowest calculated formation energy belongs to which entry?
  YPaIr4

---

- What is the formula in the fifth record?
  Y8MgC4